Entry from the Alexandria database: crystalline KCa2InO4 at its relaxed geometry (PBE-GGA).

Cell: 6.8796 7.0241 9.7435 Å, 90.00 90.00 90.00°
With the nearest neighbours (Å) after each atom.
Space group Imma (No. 74)
Unique sites:
K 0.2500 0.2500 0.2500 (multiplicity 4)  6 O 2.54-2.60
Ca 0.0000 0.0000 0.0000 (multiplicity 4)  4 O 2.43
Ca 0.2500 0.2500 0.7500 (multiplicity 4)  6 O 2.34-2.35
In 0.0000 0.0000 0.5000 (multiplicity 4)  2 O 2.16
O 0.0000 0.0252 0.7210 (multiplicity 8)  1 In 2.16, 2 Ca 2.35
O 0.2434 0.2500 0.9898 (multiplicity 8)  3 Ca 2.34-2.43, 2 In 2.49, 1 K 2.54

total energy	-44.5	eV per formula unit
calculated volume	14.71	Å³ per atom
spin magnetization	0.000	μB per atom